Record 1
An optimized crystal structure of Er11Al2Ge8, computed with PBEsol.

Unit cell a=10.9586 b=10.9586 c=10.9586 alpha=120.88 beta=120.88 gamma=88.49
Element x y z (fractional)
Er 0.0585 0.3096 0.7489
Er 0.1027 0.4367 0.3340
Er 0.1027 0.7687 0.6660
Er 0.1656 0.1656 0.0000
Er 0.2313 0.8973 0.3340
Er 0.3096 0.0585 0.7489
Er 0.3096 0.5608 0.2511
Er 0.3266 0.3266 0.6532
Er 0.3266 0.6734 0.0000
Er 0.4367 0.1027 0.3340
Er 0.4392 0.6904 0.7489
Er 0.5608 0.3096 0.2511
Er 0.5633 0.8973 0.6660
Er 0.6734 0.3266 0.0000
Er 0.6734 0.6734 0.3468
Er 0.6904 0.4392 0.7489
Er 0.6904 0.9415 0.2511
Er 0.7687 0.1027 0.6660
Er 0.8344 0.8344 0.0000
Er 0.8973 0.2313 0.3340
Er 0.8973 0.5633 0.6660
Er 0.9415 0.6904 0.2511
Al 0.1245 0.1245 0.2491
Al 0.1245 0.8755 0.0000
Al 0.8755 0.1245 0.0000
Al 0.8755 0.8755 0.7509
Ge 0.0327 0.0327 0.4110
Ge 0.0327 0.6217 0.0000
Ge 0.1458 0.5000 0.6458
Ge 0.2500 0.7500 0.5000
Ge 0.3783 0.3783 0.4110
Ge 0.3783 0.9673 0.0000
Ge 0.3842 0.3842 0.0000
Ge 0.5000 0.1458 0.6458
Ge 0.5000 0.8542 0.3542
Ge 0.6158 0.6158 0.0000
Ge 0.6217 0.0327 0.0000
Ge 0.6217 0.6217 0.5890
Ge 0.7500 0.2500 0.5000
Ge 0.8542 0.5000 0.3542
Ge 0.9673 0.3783 0.0000
Ge 0.9673 0.9673 0.5890

Calculated values
- V: 21.855 Å³/atom
- Formation energy from the elements: -82.1 kJ/mol of atoms


Record 2
An optimized crystal structure of Er2AlGe3, computed with PBEsol.

Unit cell a=6.6915 b=4.0969 c=17.3274 alpha=90.00 beta=90.00 gamma=90.00
Element x y z (fractional)
Er 0.1594 0.2500 0.2046
Er 0.1686 0.2500 0.4148
Er 0.3314 0.7500 0.9148
Er 0.3406 0.7500 0.7046
Er 0.6594 0.2500 0.2954
Er 0.6686 0.2500 0.0852
Er 0.8314 0.7500 0.5852
Er 0.8406 0.7500 0.7954
Al 0.0462 0.7500 0.0650
Al 0.4538 0.2500 0.5650
Al 0.5462 0.7500 0.4350
Al 0.9538 0.2500 0.9350
Ge 0.0460 0.2500 0.6692
Ge 0.1535 0.2500 0.8105
Ge 0.2449 0.7500 0.5352
Ge 0.2551 0.2500 0.0352
Ge 0.3465 0.7500 0.3105
Ge 0.4540 0.7500 0.1692
Ge 0.5460 0.2500 0.8308
Ge 0.6535 0.2500 0.6895
Ge 0.7449 0.7500 0.9648
Ge 0.7551 0.2500 0.4648
Ge 0.8465 0.7500 0.1895
Ge 0.9540 0.7500 0.3308

Calculated values
- V: 19.792 Å³/atom
- Formation energy from the elements: -65.7 kJ/mol of atoms


Record 3
An optimized crystal structure of Er6Al2Ge7, computed with PBEsol.

Unit cell a=5.5374 b=5.5374 c=14.6312 alpha=90.68 beta=90.68 gamma=42.49
Element x y z (fractional)
Er 0.0378 0.0378 0.2607
Er 0.3253 0.3253 0.4059
Er 0.3556 0.3556 0.9295
Er 0.6444 0.6444 0.0705
Er 0.6747 0.6747 0.5941
Er 0.9622 0.9622 0.7393
Al 0.3406 0.3406 0.1640
Al 0.6594 0.6594 0.8360
Ge 0.0000 0.0000 0.5000
Ge 0.0678 0.0678 0.9292
Ge 0.2468 0.2468 0.7407
Ge 0.3888 0.3888 0.6010
Ge 0.6112 0.6112 0.3990
Ge 0.7532 0.7532 0.2593
Ge 0.9322 0.9322 0.0708

Calculated values
- V: 20.202 Å³/atom
- Formation energy from the elements: -75.7 kJ/mol of atoms


Record 4
An optimized crystal structure of Er5Al3Ni3Ge4, computed with PBEsol.

Unit cell a=4.1200 b=18.8772 c=6.7789 alpha=90.00 beta=90.00 gamma=90.00
Element x y z (fractional)
Er 0.2500 0.0705 0.9996
Er 0.2500 0.1194 0.4951
Er 0.2500 0.2500 0.1133
Er 0.2500 0.3806 0.4951
Er 0.2500 0.4295 0.9996
Er 0.7500 0.5705 0.0004
Er 0.7500 0.6194 0.5049
Er 0.7500 0.7500 0.8867
Er 0.7500 0.8806 0.5049
Er 0.7500 0.9295 0.0004
Al 0.2500 0.6778 0.1836
Al 0.2500 0.7500 0.5282
Al 0.2500 0.8222 0.1836
Al 0.7500 0.1778 0.8164
Al 0.7500 0.2500 0.4718
Al 0.7500 0.3222 0.8164
Ni 0.2500 0.2500 0.7056
Ni 0.2500 0.5257 0.6647
Ni 0.2500 0.9743 0.6647
Ni 0.7500 0.0257 0.3353
Ni 0.7500 0.4743 0.3353
Ni 0.7500 0.7500 0.2944
Ge 0.2500 0.5385 0.2982
Ge 0.2500 0.6455 0.7906
Ge 0.2500 0.8545 0.7906
Ge 0.2500 0.9615 0.2982
Ge 0.7500 0.0385 0.7018
Ge 0.7500 0.1455 0.2094
Ge 0.7500 0.3545 0.2094
Ge 0.7500 0.4615 0.7018

Calculated values
- V: 17.574 Å³/atom
- Formation energy from the elements: -80.8 kJ/mol of atoms


Record 5
An optimized crystal structure of ErAlGeO5, computed with PBEsol.

Unit cell a=7.1759 b=8.2840 c=5.5970 alpha=90.00 beta=90.00 gamma=90.00
Element x y z (fractional)
Er 0.1413 0.1735 0.0000
Er 0.3587 0.6735 0.0000
Er 0.6413 0.3265 0.0000
Er 0.8587 0.8265 0.0000
Al 0.0000 0.5000 0.2481
Al 0.0000 0.5000 0.7519
Al 0.5000 0.0000 0.2481
Al 0.5000 0.0000 0.7519
Ge 0.1195 0.8545 0.5000
Ge 0.3805 0.3545 0.5000
Ge 0.6195 0.6455 0.5000
Ge 0.8805 0.1455 0.5000
O 0.0000 0.0000 0.2831
O 0.0000 0.0000 0.7169
O 0.1081 0.7122 0.2498
O 0.1081 0.7122 0.7502
O 0.1519 0.4288 0.5000
O 0.1645 0.4452 0.0000
O 0.3355 0.9452 0.0000
O 0.3481 0.9288 0.5000
O 0.3919 0.2122 0.2498
O 0.3919 0.2122 0.7502
O 0.5000 0.5000 0.2831
O 0.5000 0.5000 0.7169
O 0.6081 0.7878 0.2498
O 0.6081 0.7878 0.7502
O 0.6519 0.0712 0.5000
O 0.6645 0.0548 0.0000
O 0.8355 0.5548 0.0000
O 0.8481 0.5712 0.5000
O 0.8919 0.2878 0.2498
O 0.8919 0.2878 0.7502

Calculated values
- V: 10.397 Å³/atom
- E_form (uncorrected): -22.67 eV per formula unit


Record 6
An optimized crystal structure of Er3Al2Ni6H7, computed with PBEsol.

Unit cell a=7.7703 b=7.7703 c=7.7703 alpha=109.47 beta=109.47 gamma=109.47
Element x y z (fractional)
Er 0.0000 0.2822 0.2822
Er 0.0000 0.7178 0.7178
Er 0.2822 0.0000 0.2822
Er 0.2822 0.2822 0.0000
Er 0.7178 0.0000 0.7178
Er 0.7178 0.7178 0.0000
Al 0.0000 0.0000 0.5000
Al 0.0000 0.5000 0.0000
Al 0.5000 0.0000 0.0000
Al 0.5000 0.5000 0.5000
Ni 0.0000 0.3331 0.6669
Ni 0.0000 0.6669 0.3331
Ni 0.3331 0.0000 0.6669
Ni 0.3331 0.3331 0.6662
Ni 0.3331 0.6662 0.3331
Ni 0.3331 0.6669 0.0000
Ni 0.3338 0.6669 0.6669
Ni 0.6662 0.3331 0.3331
Ni 0.6669 0.0000 0.3331
Ni 0.6669 0.3331 0.0000
Ni 0.6669 0.3338 0.6669
Ni 0.6669 0.6669 0.3338
H 0.0000 0.0000 0.2453
H 0.0000 0.0000 0.7547
H 0.0000 0.2453 0.0000
H 0.0000 0.7547 0.0000
H 0.2453 0.0000 0.0000
H 0.2453 0.2453 0.2453
H 0.2500 0.5000 0.7500
H 0.2500 0.7500 0.5000
H 0.5000 0.2500 0.7500
H 0.5000 0.7500 0.2500
H 0.7500 0.2500 0.5000
H 0.7500 0.5000 0.2500
H 0.7547 0.0000 0.0000
H 0.7547 0.7547 0.7547

Calculated values
- V: 10.032 Å³/atom
- Final energy: -5.1219 eV per atom


Record 7
An optimized crystal structure of Er2MgAl, computed with PBEsol.

Unit cell a=5.0874 b=5.0874 c=5.0874 alpha=60.00 beta=60.00 gamma=60.00
Element x y z (fractional)
Er 0.2500 0.2500 0.2500
Er 0.7500 0.7500 0.7500
Mg 0.0000 0.0000 0.0000
Al 0.5000 0.5000 0.5000

Calculated values
- V: 23.276 Å³/atom
- Formation energy from the elements: -25.5 kJ/mol of atoms


Record 8
An optimized crystal structure of ErMnAl, computed with PBEsol.

Unit cell a=5.2963 b=5.2963 c=5.2963 alpha=119.63 beta=118.61 gamma=91.54
Element x y z (fractional)
Er 0.3673 0.1173 0.2500
Er 0.6327 0.8827 0.7500
Mn 0.0000 0.0000 0.5000
Mn 0.0000 0.5000 0.0000
Al 0.0000 0.5000 0.5000
Al 0.5000 0.5000 0.0000

Calculated values
- V: 17.733 Å³/atom
- Formation energy from the elements: -18.9 kJ/mol of atoms


Record 9
An optimized crystal structure of Er6Al43Mo4, computed with PBEsol.

Unit cell a=10.8915 b=10.8915 c=17.5566 alpha=90.00 beta=90.00 gamma=120.00
Element x y z (fractional)
Er 0.0000 0.4681 0.0951
Er 0.0000 0.4681 0.4049
Er 0.0000 0.5319 0.5951
Er 0.0000 0.5319 0.9049
Er 0.4681 0.0000 0.0951
Er 0.4681 0.0000 0.4049
Er 0.4681 0.4681 0.5951
Er 0.4681 0.4681 0.9049
Er 0.5319 0.0000 0.5951
Er 0.5319 0.0000 0.9049
Er 0.5319 0.5319 0.0951
Er 0.5319 0.5319 0.4049
Al 0.0000 0.1473 0.7500
Al 0.0000 0.1592 0.1149
Al 0.0000 0.1592 0.3851
Al 0.0000 0.2544 0.5299
Al 0.0000 0.2544 0.9701
Al 0.0000 0.7456 0.0299
Al 0.0000 0.7456 0.4701
Al 0.0000 0.8408 0.6149
Al 0.0000 0.8408 0.8851
Al 0.0000 0.8527 0.2500
Al 0.1473 0.0000 0.7500
Al 0.1473 0.1473 0.2500
Al 0.1477 0.5515 0.2500
Al 0.1477 0.5963 0.7500
Al 0.1571 0.3939 0.6635
Al 0.1571 0.3939 0.8365
Al 0.1571 0.7633 0.1635
Al 0.1571 0.7633 0.3365
Al 0.1592 0.0000 0.1149
Al 0.1592 0.0000 0.3851
Al 0.1592 0.1592 0.6149
Al 0.1592 0.1592 0.8851
Al 0.2367 0.3939 0.1635
Al 0.2367 0.3939 0.3365
Al 0.2367 0.8429 0.6635
Al 0.2367 0.8429 0.8365
Al 0.2470 0.4939 0.0000
Al 0.2470 0.4939 0.5000
Al 0.2470 0.7530 0.0000
Al 0.2470 0.7530 0.5000
Al 0.2544 0.0000 0.5299
Al 0.2544 0.0000 0.9701
Al 0.2544 0.2544 0.0299
Al 0.2544 0.2544 0.4701
Al 0.3333 0.6667 0.1253
Al 0.3333 0.6667 0.3747
Al 0.3333 0.6667 0.6253
Al 0.3333 0.6667 0.8747
Al 0.3939 0.1571 0.6635
Al 0.3939 0.1571 0.8365
Al 0.3939 0.2367 0.1635
Al 0.3939 0.2367 0.3365
Al 0.4037 0.5515 0.7500
Al 0.4037 0.8523 0.2500
Al 0.4485 0.5963 0.2500
Al 0.4485 0.8523 0.7500
Al 0.4939 0.2470 0.0000
Al 0.4939 0.2470 0.5000
Al 0.5061 0.7530 0.0000
Al 0.5061 0.7530 0.5000
Al 0.5515 0.1477 0.2500
Al 0.5515 0.4037 0.7500
Al 0.5963 0.1477 0.7500
Al 0.5963 0.4485 0.2500
Al 0.6061 0.7633 0.6635
Al 0.6061 0.7633 0.8365
Al 0.6061 0.8429 0.1635
Al 0.6061 0.8429 0.3365
Al 0.6667 0.3333 0.1253
Al 0.6667 0.3333 0.3747
Al 0.6667 0.3333 0.6253
Al 0.6667 0.3333 0.8747
Al 0.7456 0.0000 0.0299
Al 0.7456 0.0000 0.4701
Al 0.7456 0.7456 0.5299
Al 0.7456 0.7456 0.9701
Al 0.7530 0.2470 0.0000
Al 0.7530 0.2470 0.5000
Al 0.7530 0.5061 0.0000
Al 0.7530 0.5061 0.5000
Al 0.7633 0.1571 0.1635
Al 0.7633 0.1571 0.3365
Al 0.7633 0.6061 0.6635
Al 0.7633 0.6061 0.8365
Al 0.8408 0.0000 0.6149
Al 0.8408 0.0000 0.8851
Al 0.8408 0.8408 0.1149
Al 0.8408 0.8408 0.3851
Al 0.8429 0.2367 0.6635
Al 0.8429 0.2367 0.8365
Al 0.8429 0.6061 0.1635
Al 0.8429 0.6061 0.3365
Al 0.8523 0.4037 0.2500
Al 0.8523 0.4485 0.7500
Al 0.8527 0.0000 0.2500
Al 0.8527 0.8527 0.7500
Mo 0.0000 0.0000 0.0000
Mo 0.0000 0.0000 0.5000
Mo 0.0000 0.2716 0.2500
Mo 0.0000 0.7284 0.7500
Mo 0.2716 0.0000 0.2500
Mo 0.2716 0.2716 0.7500
Mo 0.7284 0.0000 0.7500
Mo 0.7284 0.7284 0.2500

Calculated values
- V: 17.015 Å³/atom
- Formation energy from the elements: -29.8 kJ/mol of atoms


Record 10
An optimized crystal structure of Er3AlN, computed with PBEsol.

Unit cell a=4.6578 b=4.6578 c=4.6578 alpha=90.00 beta=90.00 gamma=90.00
Element x y z (fractional)
Er 0.0000 0.0000 0.5000
Er 0.0000 0.5000 0.0000
Er 0.5000 0.0000 0.0000
Al 0.5000 0.5000 0.5000
N 0.0000 0.0000 0.0000

Calculated values
- V: 20.210 Å³/atom
- E_form (uncorrected): -5.16 eV per formula unit


Record 11
An optimized crystal structure of Er2AlNi2, computed with PBEsol.

Unit cell a=5.2415 b=5.2415 c=5.2415 alpha=133.61 beta=119.63 gamma=79.39
Element x y z (fractional)
Er 0.2024 0.2024 0.0000
Er 0.7976 0.7976 0.0000
Al 0.5000 0.0000 0.5000
Ni 0.2335 0.5000 0.7335
Ni 0.7665 0.5000 0.2665

Calculated values
- V: 17.553 Å³/atom
- Formation energy from the elements: -55.4 kJ/mol of atoms


Record 12
An optimized crystal structure of Er3Al2Ni6, computed with PBEsol.

Unit cell a=7.5642 b=7.5642 c=7.5642 alpha=109.47 beta=109.47 gamma=109.47
Element x y z (fractional)
Er 0.0000 0.2917 0.2917
Er 0.0000 0.7083 0.7083
Er 0.2917 0.0000 0.2917
Er 0.2917 0.2917 0.0000
Er 0.7083 0.0000 0.7083
Er 0.7083 0.7083 0.0000
Al 0.0000 0.0000 0.5000
Al 0.0000 0.5000 0.0000
Al 0.5000 0.0000 0.0000
Al 0.5000 0.5000 0.5000
Ni 0.0000 0.3369 0.6631
Ni 0.0000 0.6631 0.3369
Ni 0.3263 0.6631 0.6631
Ni 0.3369 0.0000 0.6631
Ni 0.3369 0.3369 0.6737
Ni 0.3369 0.6631 0.0000
Ni 0.3369 0.6737 0.3369
Ni 0.6631 0.0000 0.3369
Ni 0.6631 0.3263 0.6631
Ni 0.6631 0.3369 0.0000
Ni 0.6631 0.6631 0.3263
Ni 0.6737 0.3369 0.3369

Calculated values
- V: 15.144 Å³/atom
- Formation energy from the elements: -57.7 kJ/mol of atoms